1.
Density functional theory data (PBE) for a geometry-optimized La5Er4Hg4 structure.

abc: 9.193 9.193 9.193
angles: 94.55 94.55 147.29
Fractional coordinates of all 13 atoms:
La1 0.000 0.000 0.000
La2 0.312 0.377 0.690
La3 0.377 0.688 0.065
La4 0.623 0.312 0.935
La5 0.688 0.623 0.310
Er1 0.096 0.598 0.694
Er2 0.402 0.096 0.498
Er3 0.598 0.904 0.502
Er4 0.904 0.402 0.306
Hg1 0.086 0.247 0.334
Hg2 0.247 0.914 0.161
Hg3 0.753 0.086 0.839
Hg4 0.914 0.753 0.666

Computed properties:
M_tot: 0.000 μB per formula unit
ΔH_f (0 K): -0.307 eV/atom
space-group type: I4/m, No. 87

---

2.
Density functional theory data (PBE) for a geometry-optimized ScSnTe3Au structure.

abc: 8.162 4.229 10.464
angles: 90.00 107.78 90.00
Fractional coordinates of all 12 atoms:
Sc1 0.216 0.250 0.183
Sc2 0.784 0.750 0.817
Sn1 0.197 0.750 0.717
Sn2 0.803 0.250 0.283
Te1 0.066 0.250 0.882
Te2 0.200 0.250 0.466
Te3 0.451 0.750 0.159
Te4 0.549 0.250 0.841
Te5 0.800 0.750 0.534
Te6 0.934 0.750 0.118
Au1 0.389 0.750 0.400
Au2 0.611 0.250 0.600

Computed properties:
M_tot: 0.000 μB per formula unit
energy relative to the elements, uncorrected: -0.58 eV/atom
space-group type: P2_1/m, No. 11

---

3.
Density functional theory data (PBE) for a geometry-optimized Mg2AlAg2 structure.

abc: 9.649 4.363 5.642
angles: 90.00 124.39 90.00
Fractional coordinates of all 10 atoms:
Mg1 0.190 0.000 0.185
Mg2 0.310 0.500 0.815
Mg3 0.690 0.500 0.185
Mg4 0.810 0.000 0.815
Al1 0.000 0.000 0.500
Al2 0.500 0.500 0.500
Ag1 0.004 0.500 0.247
Ag2 0.496 0.000 0.753
Ag3 0.504 0.000 0.247
Ag4 0.996 0.500 0.753

Computed properties:
M_tot: 0.000 μB per formula unit
ΔH_f (0 K): -0.136 eV/atom
space-group type: C2/m, No. 12

---

4.
Density functional theory data (PBE) for a geometry-optimized Sr2Tl12Pb5 structure.

abc: 10.165 10.165 6.591
angles: 99.71 99.71 65.35
Fractional coordinates of all 19 atoms:
Sr1 0.205 0.795 0.000
Sr2 0.795 0.205 0.000
Tl1 0.075 0.513 0.796
Tl2 0.154 0.642 0.419
Tl3 0.157 0.157 0.916
Tl4 0.358 0.846 0.581
Tl5 0.443 0.443 0.719
Tl6 0.487 0.925 0.204
Tl7 0.513 0.075 0.796
Tl8 0.557 0.557 0.281
Tl9 0.642 0.154 0.419
Tl10 0.843 0.843 0.084
Tl11 0.846 0.358 0.581
Tl12 0.925 0.487 0.204
Pb1 0.000 0.000 0.500
Pb2 0.207 0.207 0.437
Pb3 0.354 0.354 0.148
Pb4 0.646 0.646 0.852
Pb5 0.793 0.793 0.563

Computed properties:
M_tot: 0.000 μB per formula unit
ΔH_f (0 K): -0.082 eV/atom
space-group type: C2/m, No. 12